1.
Computed, not measured: a relaxed structure of Mn2CoMo at the PBE level of DFT.

The structure in CIF format:
```
data_Mn2CoMo
_chemical_formula_sum 'Mn4 Co2 Mo2'
_cell_length_a 3.649
_cell_length_b 3.649
_cell_length_c 7.352
_cell_angle_alpha 90.00
_cell_angle_beta 90.00
_cell_angle_gamma 90.00
_symmetry_space_group_name_H-M 'I 4/m m m'
_symmetry_Int_Tables_number 139
_symmetry_space_group_name_Hall '-I 4 2'
loop_
_atom_site_label
_atom_site_fract_x
_atom_site_fract_y
_atom_site_fract_z
Mn1 0.000 0.500 0.250
Co1 0.000 0.000 0.000
Mo1 0.000 0.000 0.500
```

DFT formation energy   130 meV/atom

2.
Computed, not measured: a relaxed structure of BeTePS2 at the PBE level of DFT.

The structure in CIF format:
```
data_BeTePS2
_chemical_formula_sum 'Be1 Te1 P1 S2'
_cell_length_a 4.995
_cell_length_b 4.995
_cell_length_c 5.150
_cell_angle_alpha 90.00
_cell_angle_beta 90.00
_cell_angle_gamma 90.00
_symmetry_space_group_name_H-M 'P 4/m m m'
_symmetry_Int_Tables_number 123
_symmetry_space_group_name_Hall '-P 4 2'
loop_
_atom_site_label
_atom_site_fract_x
_atom_site_fract_y
_atom_site_fract_z
Be1 0.000 0.000 0.000
Te1 0.500 0.500 0.500
P1 0.500 0.500 0.000
S1 0.000 0.500 0.500
```

Formation energy (no corrections)   1.31 eV/atom

3.
Computed, not measured: a relaxed structure of La2ZnTcSn at the PBE level of DFT.

The structure in CIF format:
```
data_La2ZnTcSn
_chemical_formula_sum 'La2 Zn1 Tc1 Sn1'
_cell_length_a 6.047
_cell_length_b 6.047
_cell_length_c 4.770
_cell_angle_alpha 90.00
_cell_angle_beta 90.00
_cell_angle_gamma 90.00
_symmetry_space_group_name_H-M 'P 4/m m m'
_symmetry_Int_Tables_number 123
_symmetry_space_group_name_Hall '-P 4 2'
loop_
_atom_site_label
_atom_site_fract_x
_atom_site_fract_y
_atom_site_fract_z
La1 0.000 0.500 0.000
Zn1 0.000 0.000 0.500
Tc1 0.500 0.500 0.500
Sn1 0.000 0.000 0.000
```

DFT formation energy   884 meV/atom

4.
Computed, not measured: a relaxed structure of LiLaRu2 at the PBE level of DFT.

The structure in CIF format:
```
data_LiLaRu2
_chemical_formula_sum 'Li1 La1 Ru2'
_cell_length_a 3.013
_cell_length_b 3.013
_cell_length_c 8.083
_cell_angle_alpha 90.00
_cell_angle_beta 90.00
_cell_angle_gamma 90.00
_symmetry_space_group_name_H-M 'P 4 m m'
_symmetry_Int_Tables_number 99
loop_
_symmetry_equiv_pos_as_xyz
'x,y,z'
'-y,x,z'
'-x,-y,z'
'y,-x,z'
'-x,y,z'
'y,x,z'
'x,-y,z'
'-y,-x,z'
loop_
_atom_site_label
_atom_site_fract_x
_atom_site_fract_y
_atom_site_fract_z
Li1 0.000 0.000 0.000
La1 0.500 0.500 0.670
Ru1 0.000 0.000 0.378
Ru2 0.500 0.500 0.200
```

DFT formation energy   242 meV/atom

5.
Computed, not measured: a relaxed structure of TiV2P2 at the PBE level of DFT.

The structure in CIF format:
```
data_TiV2P2
_chemical_formula_sum 'Ti2 V4 P4'
_cell_length_a 6.475
_cell_length_b 6.475
_cell_length_c 3.169
_cell_angle_alpha 90.00
_cell_angle_beta 90.00
_cell_angle_gamma 90.00
_symmetry_space_group_name_H-M 'P 4/m b m'
_symmetry_Int_Tables_number 127
_symmetry_space_group_name_Hall '-P 4 2ab'
loop_
_atom_site_label
_atom_site_fract_x
_atom_site_fract_y
_atom_site_fract_z
Ti1 0.000 0.000 0.000
V1 0.149 0.351 0.500
P1 0.144 0.644 0.000
```

DFT formation energy   -799 meV/atom

6.
Computed, not measured: a relaxed structure of Sr2ZnSe at the PBE level of DFT.

The structure in CIF format:
```
data_Sr2ZnSe
_chemical_formula_sum 'Sr8 Zn4 Se4'
_cell_length_a 7.808
_cell_length_b 7.808
_cell_length_c 7.808
_cell_angle_alpha 90.00
_cell_angle_beta 90.00
_cell_angle_gamma 90.00
_symmetry_space_group_name_H-M 'F m -3 m'
_symmetry_Int_Tables_number 225
_symmetry_space_group_name_Hall '-F 4 2 3'
loop_
_atom_site_label
_atom_site_fract_x
_atom_site_fract_y
_atom_site_fract_z
Sr1 0.250 0.250 0.250
Zn1 0.000 0.000 0.000
Se1 0.000 0.000 0.500
```

Formation energy (no corrections)   -0.72 eV/atom

7.
Computed, not measured: a relaxed structure of Sr2IOF at the PBE level of DFT.

The structure in CIF format:
```
data_Sr2IOF
_chemical_formula_sum 'Sr8 I4 O4 F4'
_cell_length_a 13.352
_cell_length_b 4.297
_cell_length_c 10.261
_cell_angle_alpha 90.00
_cell_angle_beta 120.01
_cell_angle_gamma 90.00
_symmetry_space_group_name_H-M 'C 1 2/m 1'
_symmetry_Int_Tables_number 12
loop_
_symmetry_equiv_pos_as_xyz
'x,y,z'
'-x,-y,-z'
'-x,y,-z'
'x,-y,z'
'x+1/2,y+1/2,z'
'-x+1/2,-y+1/2,-z'
'-x+1/2,y+1/2,-z'
'x+1/2,-y+1/2,z'
loop_
_atom_site_label
_atom_site_fract_x
_atom_site_fract_y
_atom_site_fract_z
Sr1 0.028 0.000 0.291
Sr2 0.169 0.500 0.052
I1 0.170 0.500 0.620
O1 0.142 0.000 0.930
F1 0.051 0.500 0.189
```

Formation energy (no corrections)   -2.79 eV/atom

8.
Computed, not measured: a relaxed structure of Ce2Pd6Au at the PBE level of DFT.

The structure in CIF format:
```
data_Ce2Pd6Au
_chemical_formula_sum 'Ce2 Pd6 Au1'
_cell_length_a 5.6700
_cell_length_b 5.6700
_cell_length_c 6.3091
_cell_angle_alpha 90.00
_cell_angle_beta 90.00
_cell_angle_gamma 120.00
_symmetry_space_group_name_H-M 'P -3 m 1'
_symmetry_Int_Tables_number 164
_symmetry_space_group_name_Hall '-P 3 2"'
loop_
_atom_site_label
_atom_site_fract_x
_atom_site_fract_y
_atom_site_fract_z
Ce1 0.3333 0.6667 0.1903
Pd1 0.1738 0.3476 0.6726
Au1 0.0000 0.0000 0.0000
```

DFT formation energy   -606 meV/atom

9.
Computed, not measured: a relaxed structure of Li2LaNd2Tl2 at the PBE level of DFT.

The structure in CIF format:
```
data_Li2LaNd2Tl2
_chemical_formula_sum 'Li6 La3 Nd6 Tl6'
_cell_length_a 4.9778
_cell_length_b 4.9778
_cell_length_c 27.4990
_cell_angle_alpha 90.00
_cell_angle_beta 90.00
_cell_angle_gamma 120.00
_symmetry_space_group_name_H-M 'R -3 m'
_symmetry_Int_Tables_number 166
_symmetry_space_group_name_Hall '-R 3 2"'
loop_
_atom_site_label
_atom_site_fract_x
_atom_site_fract_y
_atom_site_fract_z
Li1 0.0000 0.0000 0.0997
La1 0.0000 0.0000 0.5000
Nd1 0.0000 0.0000 0.3723
Tl1 0.0000 0.0000 0.2388
```

DFT formation energy   -219 meV/atom

10.
Computed, not measured: a relaxed structure of K2SbRuO6 at the PBE level of DFT.

The structure in CIF format:
```
data_K2SbRuO6
_chemical_formula_sum 'K8 Sb4 Ru4 O24'
_cell_length_a 8.007
_cell_length_b 8.007
_cell_length_c 8.007
_cell_angle_alpha 90.00
_cell_angle_beta 90.00
_cell_angle_gamma 90.00
_symmetry_space_group_name_H-M 'F m -3 m'
_symmetry_Int_Tables_number 225
_symmetry_space_group_name_Hall '-F 4 2 3'
loop_
_atom_site_label
_atom_site_fract_x
_atom_site_fract_y
_atom_site_fract_z
K1 0.250 0.250 0.250
Sb1 0.000 0.000 0.000
Ru1 0.000 0.000 0.500
O1 0.000 0.000 0.252
```

Formation energy (no corrections)   -1.24 eV/atom

11.
Computed, not measured: a relaxed structure of La2GePPb at the PBE level of DFT.

The structure in CIF format:
```
data_La2GePPb
_chemical_formula_sum 'La2 Ge1 P1 Pb1'
_cell_length_a 5.790
_cell_length_b 5.790
_cell_length_c 4.693
_cell_angle_alpha 90.00
_cell_angle_beta 90.00
_cell_angle_gamma 90.00
_symmetry_space_group_name_H-M 'P 4/m m m'
_symmetry_Int_Tables_number 123
_symmetry_space_group_name_Hall '-P 4 2'
loop_
_atom_site_label
_atom_site_fract_x
_atom_site_fract_y
_atom_site_fract_z
La1 0.000 0.500 0.000
Ge1 0.000 0.000 0.000
P1 0.000 0.000 0.500
Pb1 0.500 0.500 0.500
```

DFT formation energy   -189 meV/atom

12.
Computed, not measured: a relaxed structure of ZrBiPd at the PBE level of DFT.

The structure in CIF format:
```
data_ZrBiPd
_chemical_formula_sum 'Zr2 Bi2 Pd2'
_cell_length_a 4.6521
_cell_length_b 4.6521
_cell_length_c 8.7023
_cell_angle_alpha 90.00
_cell_angle_beta 90.00
_cell_angle_gamma 120.00
_symmetry_space_group_name_H-M 'P -3 m 1'
_symmetry_Int_Tables_number 164
_symmetry_space_group_name_Hall '-P 3 2"'
loop_
_atom_site_label
_atom_site_fract_x
_atom_site_fract_y
_atom_site_fract_z
Zr1 0.3333 0.6667 0.1270
Bi1 0.0000 0.0000 0.3207
Pd1 0.3333 0.6667 0.8121
```

DFT formation energy   -376 meV/atom